CoHO2 | OQMD via LeMat-Bulk | PBE with a Hubbard U | optimized geometry; crystal system = orthorhombic; final energy = -5.555 eV/atom; M_tot = 0.0 μB/cell
1.0
1.4218 -5.6210 0.0000
1.4218 5.6210 0.0000
0.0000 0.0000 3.7745
Co H O
2 2 4
Direct
0.1782 0.8218 0.7500 Co
0.8218 0.1782 0.2500 Co
0.5000 0.5000 0.0000 H
0.5000 0.5000 0.5000 H
0.2080 0.7920 0.2500 O
0.4339 0.5661 0.2500 O
0.5661 0.4339 0.7500 O
0.7920 0.2080 0.7500 O